Material: Ba2HgBr
Method: DFT, GGA-PBE
State: relaxed

Cell and atoms, written as extended XYZ:
```
4
Lattice="0.0000 4.2300 4.2300 4.2300 0.0000 4.2300 4.2300 4.2300 0.0000" Properties=species:S:1:pos:R:3 pbc="T T T"
Ba 0.0000 0.0000 0.0000
Ba 2.1150 2.1150 2.1150
Hg 6.3450 6.3450 6.3450
Br 4.2300 4.2300 4.2300
```

formation energy from raw total energies: -0.42 eV/atom
crystal system: cubic
total magnetization: 0.000 μB/atom